A geometry-optimized AlVMoO7 structure, computed with GGA+U.

E ... -7.33 eV per atom
Total magnetic moment ... 0.0 μB per formula unit
Symmetry ... Pnma, No. 62
DOS(E_F) ... 0.00 states/eV per cell

Cell and atoms, written as extended XYZ:
```
40
Lattice="12.935 0.000 0.000 0.000 5.445 0.000 0.000 0.000 8.343" Properties=species:S:1:pos:R:3 pbc="T T T"
Al 1.444 1.361 1.947
Al 5.024 4.084 6.119
Al 7.911 1.361 2.224
Al 11.491 4.084 6.396
V 0.209 1.361 4.728
V 6.259 4.084 0.557
V 6.676 1.361 7.786
V 12.726 4.084 3.615
Mo 1.884 4.084 7.974
Mo 4.583 1.361 3.802
Mo 8.352 4.084 4.541
Mo 11.051 1.361 0.369
O 0.350 4.084 7.056
O 0.880 0.118 3.329
O 0.880 2.604 3.329
O 1.283 1.361 5.932
O 1.928 0.050 0.718
O 1.928 2.672 0.718
O 3.170 1.361 2.701
O 3.297 4.084 6.872
O 4.540 2.773 4.890
O 4.540 5.394 4.890
O 5.185 4.084 1.760
O 5.587 2.841 7.500
O 5.587 5.327 7.500
O 6.118 1.361 2.884
O 6.817 4.084 5.459
O 7.348 0.118 0.843
O 7.348 2.604 0.843
O 7.750 1.361 6.583
O 8.395 0.050 3.454
O 8.395 2.672 3.454
O 9.638 1.361 1.471
O 9.765 4.084 5.642
O 11.007 2.773 7.625
O 11.007 5.394 7.625
O 11.652 4.084 2.411
O 12.055 2.841 5.014
O 12.055 5.327 5.014
O 12.585 1.361 1.288
```